The following is a GGA-PBEsol calculation of crystalline Li6Fe2C4SO16 at its relaxed geometry, from Alexandria.

a = 9.233 Å, b = 9.233 Å, c = 9.233 Å
α = 60.00°, β = 60.00°, γ = 60.00°
Positions (direct):
1 Li 0.091 0.091 0.659
2 Li 0.091 0.659 0.091
3 Li 0.091 0.659 0.659
4 Li 0.341 0.341 0.909
5 Li 0.341 0.909 0.341
6 Li 0.341 0.909 0.909
7 Li 0.659 0.091 0.091
8 Li 0.659 0.091 0.659
9 Li 0.659 0.659 0.091
10 Li 0.909 0.341 0.341
11 Li 0.909 0.341 0.909
12 Li 0.909 0.909 0.341
13 Fe 0.000 0.500 0.500
14 Fe 0.500 0.000 0.500
15 Fe 0.500 0.500 0.000
16 Fe 0.500 0.500 0.500
17 C 0.274 0.274 0.274
18 C 0.274 0.274 0.677
19 C 0.274 0.677 0.274
20 C 0.323 0.726 0.726
21 C 0.677 0.274 0.274
22 C 0.726 0.323 0.726
23 C 0.726 0.726 0.323
24 C 0.726 0.726 0.726
25 S 0.125 0.125 0.125
26 S 0.875 0.875 0.875
27 O 0.059 0.059 0.059
28 O 0.059 0.059 0.322
29 O 0.059 0.322 0.059
30 O 0.130 0.282 0.677
31 O 0.130 0.410 0.282
32 O 0.130 0.677 0.410
33 O 0.282 0.130 0.410
34 O 0.282 0.410 0.677
35 O 0.282 0.677 0.130
36 O 0.322 0.059 0.059
37 O 0.323 0.590 0.870
38 O 0.323 0.718 0.590
39 O 0.323 0.870 0.718
40 O 0.410 0.130 0.677
41 O 0.410 0.282 0.130
42 O 0.410 0.677 0.282
43 O 0.590 0.323 0.718
44 O 0.590 0.718 0.870
45 O 0.590 0.870 0.323
46 O 0.677 0.130 0.282
47 O 0.677 0.282 0.410
48 O 0.677 0.410 0.130
49 O 0.678 0.941 0.941
50 O 0.718 0.323 0.870
51 O 0.718 0.590 0.323
52 O 0.718 0.870 0.590
53 O 0.870 0.323 0.590
54 O 0.870 0.590 0.718
55 O 0.870 0.718 0.323
56 O 0.941 0.678 0.941
57 O 0.941 0.941 0.678
58 O 0.941 0.941 0.941

Values from the calculation:
As for the energy: -203.643 eV/f.u. The symmetry is Fd-3 (203). The value obtained for the volume is 557 Å³ per cell. The value obtained for the density of states at the Fermi level is 0.334 states/eV/atom.


The following is a GGA-PBEsol calculation of crystalline ScAgPt2 at its relaxed geometry, from Alexandria.

a = 2.855 Å, b = 2.855 Å, c = 27.735 Å
α = 90.00°, β = 90.00°, γ = 120.00°
Positions (direct):
1 Sc 0.000 0.000 0.000
2 Sc 0.333 0.667 0.667
3 Sc 0.667 0.333 0.333
4 Ag 0.000 0.000 0.754
5 Ag 0.333 0.667 0.421
6 Ag 0.667 0.333 0.088
7 Pt 0.000 0.000 0.255
8 Pt 0.000 0.000 0.504
9 Pt 0.333 0.667 0.171
10 Pt 0.333 0.667 0.922
11 Pt 0.667 0.333 0.589
12 Pt 0.667 0.333 0.838

Values from the calculation:
The symmetry is R3m (160). The value obtained for the volume is 196 Å³ per cell. The value obtained for the density of states at the Fermi level is 0.783 states/eV/atom. The energy relative to the elements comes out at -0.182 eV/atom.


The following is a GGA-PBEsol calculation of crystalline ZrCo3Sb at its relaxed geometry, from Alexandria.

a = 4.473 Å, b = 4.473 Å, c = 4.473 Å
α = 90.00°, β = 90.00°, γ = 90.00°
Positions (direct):
1 Zr 0.000 0.000 0.000
2 Co 0.000 0.500 0.500
3 Co 0.500 0.000 0.500
4 Co 0.500 0.500 0.000
5 Sb 0.500 0.500 0.500

Values from the calculation:
As for the energy: -32.350 eV/f.u. The symmetry is Pm-3m (221). The value obtained for the volume is 90 Å³ per cell. The value obtained for the density of states at the Fermi level is 0.971 states/eV/atom.